[1]
CuReNiCl2: optimized geometry, PBE-GGA.

Summary:
- N(E_F): 2.5 states/eV/cell
- Symmetry: P4/mmm
- Total DFT energy (no corrections): -4.019 eV/atom
- E_form (uncorrected): 1.1845 eV/atom
- Volume: 99 Å³ per cell

abc: 4.4019 5.1084 4.4019
angles: 90.00 90.00 90.00
Atoms (fractional coordinates):
Cl 0.0000 0.0000 0.5000
Re 0.5000 0.5000 0.5000
Cl 0.5000 0.0000 0.0000
Ni 0.0000 0.0000 0.0000
Cu 0.0000 0.5000 0.0000

=====

[2]
CuNiS2Cl: optimized geometry, PBE-GGA.

Summary:
- E above lowest polymorph: 0.0 kJ per mole of atoms
- N(E_F): 7.0 states/eV/cell
- Symmetry: P4/mmm
- Total DFT energy (no corrections): -3.534 eV/atom
- E_form (uncorrected): 0.4622 eV/atom
- Volume: 92 Å³ per cell

abc: 4.4271 4.4271 4.7115
angles: 90.00 90.00 90.00
Atoms (fractional coordinates):
S 0.0000 0.5000 0.0000
Cu 0.5000 0.5000 0.5000
Cl 0.0000 0.0000 0.5000
S 0.5000 0.0000 0.0000
Ni 0.0000 0.0000 0.0000

=====

[3]
Sm6CuNi2Cl3: optimized geometry, PBE-GGA.

Summary:
- N(E_F): 12.3 states/eV/cell
- Symmetry: C2/m
- Total DFT energy (no corrections): -4.980 eV/atom
- E_form (uncorrected): -0.8537 eV/atom
- Volume: 304 Å³ per cell

abc: 3.9933 8.6482 9.5231
angles: 108.82 102.10 90.00
Atoms (fractional coordinates):
Cu 0.5000 0.0000 0.0000
Cl 0.5000 0.5000 0.0000
Sm 0.3214 0.4430 0.6428
Ni 0.8355 0.6714 0.6710
Cl 0.1663 0.8331 0.3326
Cl 0.8337 0.1669 0.6674
Sm 0.9901 0.7593 0.9803
Ni 0.1645 0.3286 0.3290
Sm 0.6599 0.1060 0.3199
Sm 0.3401 0.8940 0.6801
Sm 0.6786 0.5570 0.3572
Sm 0.0099 0.2407 0.0197

=====

[4]
TlCu2NiCl8: optimized geometry, PBE-GGA.

Summary:
- N(E_F): 3.4 states/eV/cell
- Symmetry: P2/m
- Total DFT energy (no corrections): -3.133 eV/atom
- E_form (uncorrected): -0.5403 eV/atom
- Volume: 292 Å³ per cell

abc: 6.5708 6.2805 7.1480
angles: 90.02 90.01 98.26
Atoms (fractional coordinates):
Cu 0.5000 0.4997 0.7625
Cl 0.8471 0.1958 0.7734
Cl 0.1529 0.8042 0.2266
Cl 0.3482 0.3028 0.5001
Cl 0.3272 0.2953 0.0001
Cl 0.6518 0.6972 0.4999
Cu 0.5000 0.5003 0.2375
Cl 0.1529 0.8042 0.7733
Cl 0.8471 0.1958 0.2267
Tl 0.0000 0.0000 0.5000
Cl 0.6728 0.7047 0.9999
Ni 0.0000 0.0000 0.0000